# 1
First-principles (PBE-GGA) data for a relaxed Er2Sc2Tl crystal, as listed in Alexandria via LeMat-Bulk.

Values from the calculation:
As for the density of states at the Fermi level: 6.2 states/eV/f.u. The calculation puts the magnetization at 0.000 μB per atom. The relative energy among the computed polymorphs comes out at 0.0 meV per atom. The value obtained for the final energy is -96.7 eV/cell. The theoretical density comes out at 7.61 Mg/m³. Its energy relative to the elements is -0.006 eV per atom.

```
data_Er2Sc2Tl
_space_group_name_H-M_alt 'C 1 2/m 1'
_space_group_IT_number 12
_cell_length_a 7.750
_cell_length_b 9.717
_cell_length_c 8.182
_cell_angle_alpha 90.00
_cell_angle_beta 116.95
_cell_angle_gamma 90.00
loop_
_space_group_symop_operation_xyz
'x,y,z'
'-x,-y,-z'
'-x,y,-z'
'x,-y,z'
'x+1/2,y+1/2,z'
'-x+1/2,-y+1/2,-z'
'-x+1/2,y+1/2,-z'
'x+1/2,-y+1/2,z'
loop_
_atom_site_label
_atom_site_fract_x
_atom_site_fract_y
_atom_site_fract_z
Er1 0.179 0.184 0.211
Sc1 0.101 0.500 0.379
Sc2 0.243 0.500 0.090
Tl1 0.000 0.158 0.500
```

# 2
First-principles (PBE-GGA) data for a relaxed Er2Sc2Tl3 crystal, as listed in Alexandria via LeMat-Bulk.

Values from the calculation:
As for the density of states at the Fermi level: 6.7 states/eV/f.u. The calculation puts the magnetization at 0.000 μB per atom. The relative energy among the computed polymorphs comes out at 0.0 meV per atom. The value obtained for the final energy is -60.2 eV/cell. The theoretical density comes out at 9.08 Mg/m³. Its energy relative to the elements is -0.172 eV per atom.

```
data_Er2Sc2Tl3
_space_group_name_H-M_alt 'I m m m'
_space_group_IT_number 71
_space_group_name_Hall '-I 2 2'
_cell_length_a 5.043
_cell_length_b 5.126
_cell_length_c 14.676
_cell_angle_alpha 90.00
_cell_angle_beta 90.00
_cell_angle_gamma 90.00
loop_
_atom_site_label
_atom_site_fract_x
_atom_site_fract_y
_atom_site_fract_z
Er1 0.000 0.000 0.122
Sc1 0.000 0.000 0.381
Tl1 0.000 0.500 0.000
Tl2 0.000 0.500 0.255
```

# 3
First-principles (PBE-GGA) data for a relaxed Er3Sc2Tl4 crystal, as listed in Alexandria via LeMat-Bulk.

Values from the calculation:
As for the density of states at the Fermi level: 9.2 states/eV/f.u. The calculation puts the magnetization at 0.000 μB per atom. The relative energy among the computed polymorphs comes out at 0.0 meV per atom. The value obtained for the final energy is -75.6 eV/cell. The theoretical density comes out at 9.67 Mg/m³. Its energy relative to the elements is -0.219 eV per atom.

```
data_Er3Sc2Tl4
_space_group_name_H-M_alt 'C 1 2/m 1'
_space_group_IT_number 12
_cell_length_a 16.092
_cell_length_b 4.824
_cell_length_c 6.526
_cell_angle_alpha 90.00
_cell_angle_beta 107.14
_cell_angle_gamma 90.00
loop_
_space_group_symop_operation_xyz
'x,y,z'
'-x,-y,-z'
'-x,y,-z'
'x,-y,z'
'x+1/2,y+1/2,z'
'-x+1/2,-y+1/2,-z'
'-x+1/2,y+1/2,-z'
'x+1/2,-y+1/2,z'
loop_
_atom_site_label
_atom_site_fract_x
_atom_site_fract_y
_atom_site_fract_z
Er1 0.000 0.000 0.000
Er2 0.112 0.000 0.597
Sc1 0.172 0.500 0.057
Tl1 0.014 0.500 0.283
Tl2 0.245 0.000 0.314
```

# 4
First-principles (PBE-GGA) data for a relaxed Er5ScTl8 crystal, as listed in Alexandria via LeMat-Bulk.

Values from the calculation:
As for the density of states at the Fermi level: 10.7 states/eV/f.u. The calculation puts the magnetization at 0.000 μB per atom. The value obtained for the final energy is -101.4 eV/cell. The theoretical density comes out at 10.87 Mg/m³. Its energy relative to the elements is -0.186 eV per atom.

```
data_Er5ScTl8
_space_group_name_H-M_alt 'I -4'
_space_group_IT_number 82
_cell_length_a 9.210
_cell_length_b 9.210
_cell_length_c 9.065
_cell_angle_alpha 90.00
_cell_angle_beta 90.00
_cell_angle_gamma 90.00
loop_
_space_group_symop_operation_xyz
'x,y,z'
'y,-x,-z'
'-x,-y,z'
'-y,x,-z'
'x+1/2,y+1/2,z+1/2'
'y+1/2,-x+1/2,-z+1/2'
'-x+1/2,-y+1/2,z+1/2'
'-y+1/2,x+1/2,-z+1/2'
loop_
_atom_site_label
_atom_site_fract_x
_atom_site_fract_y
_atom_site_fract_z
Er1 0.000 0.000 0.000
Er2 0.118 0.764 0.374
Sc1 0.000 0.500 0.750
Tl1 0.073 0.664 0.041
Tl2 0.088 0.818 0.712
```

# 5
First-principles (PBE-GGA) data for a relaxed Er3Sc2Tl2 crystal, as listed in Alexandria via LeMat-Bulk.

Values from the calculation:
As for the density of states at the Fermi level: 7.1 states/eV/f.u. The calculation puts the magnetization at 0.000 μB per atom. The relative energy among the computed polymorphs comes out at 0.0 meV per atom. The value obtained for the final energy is -96.6 eV/cell. The theoretical density comes out at 9.01 Mg/m³. Its energy relative to the elements is -0.159 eV per atom.

```
data_Er3Sc2Tl2
_space_group_name_H-M_alt 'R -3 m'
_space_group_IT_number 166
_space_group_name_Hall '-R 3 2"'
_cell_length_a 5.2379
_cell_length_b 5.2379
_cell_length_c 23.2817
_cell_angle_alpha 90.00
_cell_angle_beta 90.00
_cell_angle_gamma 120.00
loop_
_atom_site_label
_atom_site_fract_x
_atom_site_fract_y
_atom_site_fract_z
Er1 0.0000 0.0000 0.0000
Er2 0.0000 0.0000 0.1533
Sc1 0.0000 0.0000 0.4286
Tl1 0.0000 0.0000 0.2837
```

# 6
First-principles (PBE-GGA) data for a relaxed ErScTl crystal, as listed in Alexandria via LeMat-Bulk.

Values from the calculation:
As for the density of states at the Fermi level: 3.7 states/eV/f.u. The calculation puts the magnetization at 0.003 μB per atom. The relative energy among the computed polymorphs comes out at 0.0 meV per atom. The value obtained for the final energy is -28.1 eV/cell. The theoretical density comes out at 9.08 Mg/m³. Its energy relative to the elements is -0.264 eV per atom.

```
data_ErScTl
_space_group_name_H-M_alt 'P 63/m m c'
_space_group_IT_number 194
_space_group_name_Hall '-P 6c 2c'
_cell_length_a 5.1795
_cell_length_b 5.1795
_cell_length_c 6.5576
_cell_angle_alpha 90.00
_cell_angle_beta 90.00
_cell_angle_gamma 120.00
loop_
_atom_site_label
_atom_site_fract_x
_atom_site_fract_y
_atom_site_fract_z
Er1 0.0000 0.0000 0.0000
Sc1 0.3333 0.6667 0.2500
Tl1 0.3333 0.6667 0.7500
```

# 7
First-principles (PBE-GGA) data for a relaxed ErSc12Tl3 crystal, as listed in Alexandria via LeMat-Bulk.

Values from the calculation:
As for the density of states at the Fermi level: 23.1 states/eV/f.u. The calculation puts the magnetization at 0.268 μB per atom. The value obtained for the final energy is -89.7 eV/cell. The theoretical density comes out at 5.72 Mg/m³. Its energy relative to the elements is -0.128 eV per atom.

```
data_ErSc12Tl3
_space_group_name_H-M_alt 'P 4/m m m'
_space_group_IT_number 123
_space_group_name_Hall '-P 4 2'
_cell_length_a 4.545
_cell_length_b 4.545
_cell_length_c 18.538
_cell_angle_alpha 90.00
_cell_angle_beta 90.00
_cell_angle_gamma 90.00
loop_
_atom_site_label
_atom_site_fract_x
_atom_site_fract_y
_atom_site_fract_z
Er1 0.000 0.000 0.000
Sc1 0.000 0.500 0.132
Sc2 0.000 0.500 0.378
Sc3 0.500 0.500 0.000
Sc4 0.500 0.500 0.257
Sc5 0.500 0.500 0.500
Tl1 0.000 0.000 0.256
Tl2 0.000 0.000 0.500
```

# 8
First-principles (PBE-GGA) data for a relaxed Er8ScTl2 crystal, as listed in Alexandria via LeMat-Bulk.

Values from the calculation:
As for the density of states at the Fermi level: 14.4 states/eV/f.u. The calculation puts the magnetization at 0.000 μB per atom. The value obtained for the final energy is -95.1 eV/cell. The theoretical density comes out at 9.03 Mg/m³. Its energy relative to the elements is 0.002 eV per atom.

```
data_Er8ScTl2
_space_group_name_H-M_alt 'C 1 2/m 1'
_space_group_IT_number 12
_cell_length_a 8.769
_cell_length_b 15.009
_cell_length_c 5.460
_cell_angle_alpha 90.00
_cell_angle_beta 113.49
_cell_angle_gamma 90.00
loop_
_space_group_symop_operation_xyz
'x,y,z'
'-x,-y,-z'
'-x,y,-z'
'x,-y,z'
'x+1/2,y+1/2,z'
'-x+1/2,-y+1/2,-z'
'-x+1/2,y+1/2,-z'
'x+1/2,-y+1/2,z'
loop_
_atom_site_label
_atom_site_fract_x
_atom_site_fract_y
_atom_site_fract_z
Er1 0.000 0.212 0.000
Er2 0.109 0.500 0.800
Er3 0.208 0.113 0.616
Sc1 0.000 0.000 0.000
Tl1 0.000 0.306 0.500
```